[1]
DFT (PBE-GGA) results for a geometry-optimized LiSnAu5 structure.

Cell: 4.8629 4.8629 11.3984 Å, 90.00 90.00 102.96°
Fractional positions:
Li 0.0000 0.0000 0.5000
Au 0.5655 0.1613 0.6033
Au 0.8387 0.4345 0.1033
Au 0.4345 0.8387 0.1033
Au 0.0738 0.0738 0.7500
Au 0.1613 0.5655 0.8967
Au 0.1613 0.5655 0.6033
Li 0.0000 0.0000 0.0000
Sn 0.6342 0.6342 0.7500
Sn 0.3658 0.3658 0.2500
Au 0.8387 0.4345 0.3967
Au 0.5655 0.1613 0.8967
Au 0.4345 0.8387 0.3967
Au 0.9262 0.9262 0.2500

## Properties
- ΔH_f (0 K): -1.38 eV/f.u.
- Polymorph energy (0 for the lowest one): 0.00 eV per formula unit
- Crystal system: orthorhombic

=====

[2]
DFT (PBE-GGA) results for a geometry-optimized TlTeCl structure.

Cell: 4.2901 4.3082 11.1349 Å, 87.91 89.05 89.55°
Fractional positions:
Cl 0.7537 0.7605 0.8899
Te 0.7250 0.2264 0.4633
Cl 0.2463 0.2395 0.1101
Te 0.2750 0.7736 0.5367
Tl 0.7438 0.7359 0.1641
Tl 0.2562 0.2641 0.8359

## Properties
- Energy relative to the elements, uncorrected: -0.604 eV/atom
- Crystal system: triclinic

=====

[3]
DFT (PBE-GGA) results for a geometry-optimized SrZn3IrPt structure.

Cell: 5.8738 7.8568 6.8651 Å, 124.91 90.00 90.00°
Fractional positions:
Pt 0.2500 0.4165 0.8330
Zn 0.0000 0.2604 0.0000
Pt 0.7500 0.5835 0.1670
Zn 0.7500 0.8031 0.6063
Ir 0.2500 0.9845 0.9690
Zn 0.5000 0.2604 0.0000
Ir 0.7500 0.0155 0.0310
Sr 0.7500 0.2829 0.5657
Zn 0.2500 0.1969 0.3937
Zn 0.5000 0.7396 0.0000
Sr 0.2500 0.7171 0.4343
Zn 0.0000 0.7396 0.0000

## Properties
- ΔH_f (0 K): -1.73 eV/f.u.
- Crystal system: orthorhombic

=====

[4]
DFT (PBE-GGA) results for a geometry-optimized Ce5SmRu6 structure.

Cell: 7.7089 5.7603 7.1022 Å, 66.08 79.37 62.93°
Fractional positions:
Ce 0.5000 0.5000 0.0000
Sm 0.0000 0.0000 0.0000
Ru 0.7204 0.5267 0.6381
Ru 0.2796 0.4733 0.3619
Ce 0.0000 0.6793 0.6413
Ru 0.2301 0.3561 0.0000
Ce 0.0000 0.3207 0.3587
Ru 0.2796 0.8352 0.6381
Ce 0.5000 0.8498 0.3004
Ce 0.5000 0.1502 0.6996
Ru 0.7699 0.6439 0.0000
Ru 0.7204 0.1648 0.3619

## Properties
- ΔH_f (0 K): -3.43 eV/f.u.
- Polymorph energy (0 for the lowest one): 0.18 eV per formula unit
- Crystal system: monoclinic

=====

[5]
DFT (PBE-GGA) results for a geometry-optimized Zr2ScPb structure.

Cell: 4.4408 4.4395 4.6600 Å, 90.00 90.00 90.00°
Fractional positions:
Zr 0.0000 0.0000 0.0000
Zr 0.5000 0.5000 0.0000
Sc 0.0000 0.5000 0.5000
Pb 0.5000 0.0000 0.5000

## Properties
- ΔH_f (0 K): -0.74 eV/f.u.
- Crystal system: tetragonal

=====

[6]
DFT (PBE-GGA) results for a geometry-optimized NaBeH2 structure.

Cell: 4.3710 4.3710 5.4449 Å, 66.34 66.34 90.00°
Fractional positions:
H 0.3783 0.1250 0.2500
H 0.8750 0.6283 0.7500
Be 0.2500 0.7500 0.5000
H 0.3717 0.6250 0.2500
Be 0.5000 0.5000 0.0000
H 0.3750 0.6217 0.7500
Na 0.0000 0.0000 0.0000
Na 0.7500 0.2500 0.5000

## Properties
- Polymorph energy (0 for the lowest one): 0.00 eV per formula unit
- Crystal system: tetragonal

=====

[7]
DFT (PBE-GGA) results for a geometry-optimized Zr2ScIn structure.

Cell: 10.3644 10.3644 10.3644 Å, 18.16 18.16 18.16°
Fractional positions:
Zr 0.9997 0.9997 0.9997
In 0.5000 0.5000 0.5000
Zr 0.2506 0.2506 0.2506
Sc 0.7497 0.7497 0.7497

## Properties
- ΔH_f (0 K): -0.47 eV/f.u.
- Crystal system: trigonal

=====

[8]
DFT (PBE-GGA) results for a geometry-optimized Th8Ge3As4S structure.

Cell: 8.5001 8.5077 8.5003 Å, 119.97 120.00 90.00°
Fractional positions:
Th 0.2507 0.2520 0.5014
As 0.0000 0.0000 0.5000
Th 0.7521 0.2538 0.5042
Th 0.2495 0.2538 0.0017
Th 0.7522 0.2538 0.0017
Ge 0.0000 0.5000 0.5000
S 0.0000 0.5000 0.0000
Th 0.7505 0.7462 0.9983
Th 0.7493 0.7480 0.4986
Ge 0.5000 0.5000 0.0000
Th 0.2478 0.7462 0.9983
Th 0.2479 0.7462 0.4958
Ge 0.5000 0.5000 0.5000
As 0.0000 0.0000 0.0000
As 0.5000 0.0000 0.5000
As 0.5000 0.0000 0.0000

## Properties
- Energy relative to the elements, uncorrected: -1.229 eV/atom
- Crystal system: trigonal

=====

[9]
DFT (PBE-GGA) results for a geometry-optimized RbSiPO2 structure.

Cell: 3.8228 3.8228 4.7486 Å, 90.00 90.00 90.00°
Fractional positions:
Si 0.0000 0.0000 0.0000
P 0.0000 0.0000 0.5000
O 0.5000 0.0000 0.0000
O 0.0000 0.5000 0.0000
Rb 0.5000 0.5000 0.5000

## Properties
- Energy relative to the elements, uncorrected: -0.492 eV/atom
- Polymorph energy (0 for the lowest one): 0.00 eV per formula unit
- Crystal system: tetragonal

=====

[10]
DFT (PBE-GGA) results for a geometry-optimized Sr2InTcO8 structure.

Cell: 4.7073 5.3151 7.3197 Å, 89.96 89.98 93.37°
Fractional positions:
Sr 0.5006 0.5001 0.2507
O 0.9243 0.2310 0.8182
O 0.0757 0.7690 0.1818
O 0.3286 0.2463 0.5000
O 0.6714 0.7537 0.5000
Tc 0.0000 0.0000 0.0000
O 0.4180 0.1097 0.0002
O 0.5820 0.8903 0.9998
O 0.0759 0.7703 0.8175
O 0.9241 0.2297 0.1825
In 0.0000 0.0000 0.5000
Sr 0.4994 0.4999 0.7493

## Properties
- Energy relative to the elements, uncorrected: -1.614 eV/atom
- Crystal system: monoclinic

=====

[11]
DFT (PBE-GGA) results for a geometry-optimized CePmCo2 structure.

Cell: 4.5028 7.6129 9.4230 Å, 90.00 90.00 90.00°
Fractional positions:
Co 0.7500 0.7926 0.4177
Co 0.7500 0.2926 0.0823
Co 0.2500 0.7028 0.3338
Ce 0.7500 0.4266 0.8760
Co 0.7500 0.7972 0.8338
Co 0.2500 0.2028 0.1662
Co 0.2500 0.7074 0.9177
Ce 0.2500 0.5734 0.1240
Pm 0.2500 0.0878 0.8741
Co 0.7500 0.2972 0.6662
Pm 0.2500 0.5878 0.6259
Co 0.2500 0.2074 0.5823
Ce 0.2500 0.0734 0.3760
Pm 0.7500 0.9122 0.1259
Ce 0.7500 0.9266 0.6240
Pm 0.7500 0.4122 0.3741

## Properties
- ΔH_f (0 K): -0.87 eV/f.u.
- Polymorph energy (0 for the lowest one): 0.00 eV per formula unit
- Crystal system: orthorhombic

=====

[12]
DFT (PBE-GGA) results for a geometry-optimized ThZnAg2 structure.

Cell: 3.3417 3.3417 7.4731 Å, 90.00 90.00 90.00°
Fractional positions:
Ag 0.0000 0.0000 0.1981
Ag 0.0000 0.0000 0.8019
Th 0.5000 0.5000 0.5000
Zn 0.5000 0.5000 0.0000

## Properties
- ΔH_f (0 K): -0.18 eV/f.u.
- Crystal system: tetragonal

=====

DFT total energy? In order: -3.38; -3.06; -3.69; -7.79; -6.97; -2.73; -6.66; -7.22; -4.84; -6.29; -6.44; -3.64 eV per atom.